Arrangement w

Entry from Alexandria: a geometry-optimized Sb2IrBr structure (GGA-PBE).

## Properties
space-group type	Pmmm, No. 47
total moment	0.0	Bohr magnetons per cell

a b c (Å): 3.2580 6.2623 4.6182
angles (deg): 90.00 90.00 90.00
Atoms (fractional coordinates):
Sb (0.0000, 0.0000, 0.0000)
Sb (0.5000, 0.5000, 0.0000)
Ir (0.0000, 0.5000, 0.5000)
Br (0.5000, 0.0000, 0.5000)

---

Arrangement x

Entry from Alexandria: a geometry-optimized Sb2IrBr structure (GGA-PBE).

## Properties
space-group type	P4/mmm, No. 123
total moment	0.0	Bohr magnetons per cell

a b c (Å): 3.3755 3.3757 8.0769
angles (deg): 90.00 90.00 90.03
Atoms (fractional coordinates):
Sb (0.0000, 0.0000, 0.9495)
Sb (0.0000, 0.0000, 0.5505)
Ir (0.5000, 0.5000, 0.7500)
Br (0.5000, 0.5000, 0.2500)

---

Which structure wins on stability? arrangement x wins.

---

Arrangement w

Entry from Alexandria: a geometry-optimized Sb2IrBr structure (GGA-PBE).

## Properties
space-group type	R-3m, No. 166
total moment	0.0	Bohr magnetons per cell

a b c (Å): 7.9630 7.9630 7.9630
angles (deg): 28.54 28.54 28.54
Atoms (fractional coordinates):
Sb (0.0209, 0.0209, 0.0209)
Sb (0.4791, 0.4791, 0.4791)
Ir (0.7500, 0.7500, 0.7500)
Br (0.2500, 0.2500, 0.2500)

---

Arrangement x

Entry from Alexandria: a geometry-optimized Sb2IrBr structure (GGA-PBE).

## Properties
space-group type	Amm2, No. 38
total moment	0.0	Bohr magnetons per cell

a b c (Å): 3.6595 5.6951 5.6950
angles (deg): 57.04 90.00 90.00
Atoms (fractional coordinates):
Sb (0.0000, 0.9443, 0.9443)
Sb (0.5000, 0.2326, 0.2326)
Ir (0.5000, 0.7675, 0.7676)
Br (0.0000, 0.5555, 0.5555)

---

Which structure wins on stability? arrangement w wins.

---

Arrangement w

Entry from Alexandria: a geometry-optimized Sb2IrBr structure (GGA-PBE).

## Properties
space-group type	C2/m, No. 12
total moment	0.0	Bohr magnetons per cell

a b c (Å): 4.1211 4.1211 8.3508
angles (deg): 104.45 104.45 60.01
Atoms (fractional coordinates):
Sb (0.1346, 0.1346, 0.9014)
Sb (0.3654, 0.3654, 0.5986)
Ir (0.7500, 0.7500, 0.7500)
Br (0.2500, 0.2500, 0.2500)

---

Arrangement x

Entry from Alexandria: a geometry-optimized Sb2IrBr structure (GGA-PBE).

## Properties
space-group type	I-42d, No. 122
total moment	0.0	Bohr magnetons per cell

a b c (Å): 6.6051 6.6051 7.7531
angles (deg): 64.79 64.79 90.00
Atoms (fractional coordinates):
Sb (0.7125, 0.1250, 0.2500)
Sb (0.0375, 0.6250, 0.2500)
Sb (0.3750, 0.2875, 0.7500)
Sb (0.8750, 0.9625, 0.7500)
Ir (0.0000, 0.0000, 0.0000)
Ir (0.7500, 0.2500, 0.5000)
Br (0.5000, 0.5000, 0.0000)
Br (0.2500, 0.7500, 0.5000)

---

Arrangement y

Entry from Alexandria: a geometry-optimized Sb2IrBr structure (GGA-PBE).

## Properties
space-group type	P4mm, No. 99
total moment	0.0	Bohr magnetons per cell

a b c (Å): 3.2560 3.2560 8.8745
angles (deg): 90.00 90.00 89.97
Atoms (fractional coordinates):
Sb (0.0000, 0.0000, 0.9350)
Sb (0.5000, 0.5000, 0.2454)
Ir (0.5000, 0.5000, 0.7709)
Br (0.0000, 0.0000, 0.5487)

---

Arrangement z

Entry from Alexandria: a geometry-optimized Sb2IrBr structure (GGA-PBE).

## Properties
space-group type	Fm-3m, No. 225
total moment	0.0	Bohr magnetons per cell

a b c (Å): 4.9362 4.9362 4.9362
angles (deg): 60.00 60.00 60.00
Atoms (fractional coordinates):
Sb (0.2500, 0.2500, 0.2500)
Sb (0.7500, 0.7500, 0.7500)
Ir (0.5000, 0.5000, 0.5000)
Br (0.0000, 0.0000, 0.0000)

---

Which structure wins on stability? arrangement w wins.

---

Arrangement w

Entry from Alexandria: a geometry-optimized SbIr3Br structure (GGA-PBE).

## Properties
space-group type	Pm-3m, No. 221
total moment	0.0	Bohr magnetons per cell

a b c (Å): 4.6873 4.6873 4.6873
angles (deg): 90.00 90.00 90.00
Atoms (fractional coordinates):
Sb (0.5000, 0.5000, 0.5000)
Ir (0.0000, 0.5000, 0.0000)
Ir (0.0000, 0.0000, 0.5000)
Ir (0.5000, 0.0000, 0.0000)
Br (0.0000, 0.0000, 0.0000)

---

Arrangement x

Entry from Alexandria: a geometry-optimized SbIr3Br structure (GGA-PBE).

## Properties
space-group type	Pm-3m, No. 221
total moment	2.0	Bohr magnetons per cell

a b c (Å): 4.9464 4.9464 4.9464
angles (deg): 90.00 90.00 90.00
Site moments in Bohr magnetons follow the coordinates.
Atoms (fractional coordinates):
Sb (0.0000, 0.0000, 0.0000)  -0.03
Ir (0.0000, 0.5000, 0.0000)  0.69
Ir (0.0000, 0.0000, 0.5000)  0.66
Ir (0.5000, 0.0000, 0.0000)  0.37
Br (0.5000, 0.5000, 0.5000)  0.21

---

Which structure wins on stability? arrangement w wins.

---

Arrangement w

Entry from Alexandria: a geometry-optimized Sb3IrBr structure (GGA-PBE).

## Properties
space-group type	Pm-3m, No. 221
total moment	0.0	Bohr magnetons per cell

a b c (Å): 5.2838 5.2838 5.2838
angles (deg): 90.00 90.00 90.00
Atoms (fractional coordinates):
Sb (0.0000, 0.5000, 0.0000)
Sb (0.0000, 0.0000, 0.5000)
Sb (0.5000, 0.0000, 0.0000)
Ir (0.5000, 0.5000, 0.5000)
Br (0.0000, 0.0000, 0.0000)

---

Arrangement x

Entry from Alexandria: a geometry-optimized Sb3IrBr structure (GGA-PBE).

## Properties
space-group type	Pm-3m, No. 221
total moment	0.0	Bohr magnetons per cell

a b c (Å): 5.2618 5.2618 5.2618
angles (deg): 90.00 90.00 90.00
Atoms (fractional coordinates):
Sb (0.0000, 0.5000, 0.0000)
Sb (0.0000, 0.0000, 0.5000)
Sb (0.5000, 0.0000, 0.0000)
Ir (0.0000, 0.0000, 0.0000)
Br (0.5000, 0.5000, 0.5000)

---

Which structure wins on stability? arrangement x wins.

---

Arrangement w

Entry from Alexandria: a geometry-optimized SbTe2IrBr structure (GGA-PBE).

## Properties
space-group type	P4/mmm, No. 123
total moment	0.0	Bohr magnetons per cell

a b c (Å): 5.2747 5.2747 5.3199
angles (deg): 90.00 90.00 90.00
Atoms (fractional coordinates):
Sb (0.0000, 0.0000, 0.5000)
Ir (0.0000, 0.0000, 0.0000)
Te (0.0000, 0.5000, 0.0000)
Te (0.5000, 0.0000, 0.0000)
Br (0.5000, 0.5000, 0.5000)

---

Arrangement x

Entry from Alexandria: a geometry-optimized SbTe2IrBr structure (GGA-PBE).

## Properties
space-group type	P4/mmm, No. 123
total moment	1.8	Bohr magnetons per cell

a b c (Å): 5.4265 5.4265 5.3835
angles (deg): 90.00 90.00 90.00
Site moments in Bohr magnetons follow the coordinates.
Atoms (fractional coordinates):
Sb (0.0000, 0.0000, 0.5000)  -0.04
Ir (0.5000, 0.5000, 0.5000)  1.15
Te (0.0000, 0.5000, 0.0000)  0.17
Te (0.5000, 0.0000, 0.0000)  0.17
Br (0.0000, 0.0000, 0.0000)  0.09

---

Which structure wins on stability? arrangement w wins.

---

Arrangement w

Entry from Alexandria: a geometry-optimized Sc2IrBr structure (GGA-PBE).

## Properties
space-group type	R-3m, No. 166
total moment	0.0	Bohr magnetons per cell

a b c (Å): 9.6268 9.6268 9.6268
angles (deg): 18.87 18.87 18.87
Atoms (fractional coordinates):
Sc (0.9131, 0.9131, 0.9131)
Sc (0.0869, 0.0869, 0.0869)
Ir (0.0000, 0.0000, 0.0000)
Br (0.5000, 0.5000, 0.5000)

---

Arrangement x

Entry from Alexandria: a geometry-optimized Sc2IrBr structure (GGA-PBE).

## Properties
space-group type	I-42d, No. 122
total moment	0.0	Bohr magnetons per cell

a b c (Å): 7.0089 7.0089 6.2775
angles (deg): 56.07 56.07 90.00
Atoms (fractional coordinates):
Sc (0.6517, 0.1250, 0.2500)
Sc (0.0983, 0.6250, 0.2500)
Sc (0.3750, 0.3483, 0.7500)
Sc (0.8750, 0.9017, 0.7500)
Ir (0.0000, 0.0000, 0.0000)
Ir (0.7500, 0.2500, 0.5000)
Br (0.5000, 0.5000, 0.0000)
Br (0.2500, 0.7500, 0.5000)

---

Arrangement y

Entry from Alexandria: a geometry-optimized Sc2IrBr structure (GGA-PBE).

## Properties
space-group type	Pmmm, No. 47
total moment	0.0	Bohr magnetons per cell

a b c (Å): 3.1755 3.3752 7.8804
angles (deg): 90.00 90.00 90.00
Atoms (fractional coordinates):
Br (0.5000, 0.2500, 0.2500)
Ir (0.5000, 0.7500, 0.7500)
Sc (0.0000, 0.2499, 0.9512)
Sc (0.0000, 0.2501, 0.5488)

---

Which structure wins on stability? arrangement y wins.

---

Arrangement w

Entry from Alexandria: a geometry-optimized Sc2IrBr structure (GGA-PBE).

## Properties
space-group type	Cm, No. 8
total moment	0.0	Bohr magnetons per cell

a b c (Å): 5.4436 5.4436 4.6550
angles (deg): 90.25 90.25 34.16
Atoms (fractional coordinates):
Br (0.5129, 0.5129, 0.3767)
Ir (0.7402, 0.7402, 0.8739)
Sc (0.9957, 0.9957, 0.8763)
Sc (0.2512, 0.2512, 0.3730)

---

Arrangement x

Entry from Alexandria: a geometry-optimized Sc2IrBr structure (GGA-PBE).

## Properties
space-group type	Immm, No. 71
total moment	0.0	Bohr magnetons per cell

a b c (Å): 4.9514 4.9514 4.9514
angles (deg): 131.55 113.11 86.80
Atoms (fractional coordinates):
Br (0.7500, 0.2500, 0.5000)
Ir (0.2500, 0.7500, 0.5000)
Sc (0.0113, 0.0113, 0.0000)
Sc (0.4887, 0.4887, 0.0000)

---

Arrangement y

Entry from Alexandria: a geometry-optimized Sc2IrBr structure (GGA-PBE).

## Properties
space-group type	I-4m2, No. 119
total moment	0.0	Bohr magnetons per cell

a b c (Å): 5.9449 5.9449 5.9449
angles (deg): 142.52 142.52 54.05
Atoms (fractional coordinates):
Br (0.5000, 0.5000, 0.0000)
Ir (0.7500, 0.2500, 0.5000)
Sc (0.0000, 0.0000, 0.0000)
Sc (0.2500, 0.7500, 0.5000)

---

Arrangement z

Entry from Alexandria: a geometry-optimized Sc2IrBr structure (GGA-PBE).

## Properties
space-group type	R-3m, No. 166
total moment	0.0	Bohr magnetons per cell

a b c (Å): 8.1593 8.1593 8.1593
angles (deg): 28.28 28.28 28.28
Atoms (fractional coordinates):
Sc (0.8871, 0.8871, 0.8871)
Sc (0.1129, 0.1129, 0.1129)
Ir (0.5000, 0.5000, 0.5000)
Br (0.0000, 0.0000, 0.0000)

---

Which structure wins on stability? arrangement z wins.